# 1
BaTl2Rh (PBE, relaxed); total DFT energy (no corrections) = -3.5941 eV/atom; energy of formation from the pure elements = -0.09 eV/atom
1.0
3.620 0.000 0.000
0.000 3.632 0.000
0.000 0.000 7.997
Ba Tl Rh
1 2 1
Direct
0.000 0.000 0.000
0.500 0.500 0.312
0.500 0.500 0.688
0.000 0.000 0.500

---

# 2
Sr2InBr (PBE, relaxed); formation energy from raw total energies = -2.8 eV/f.u.; offset from the most stable computed form = 278.5 meV/atom; total DFT energy (no corrections) = -2.6374 eV/atom
1.0
-2.345 2.345 6.871
2.345 -2.345 6.871
2.345 2.345 -6.871
Sr In Br
2 1 1
Direct
0.000 0.000 0.000
0.750 0.250 0.500
0.500 0.500 0.000
0.250 0.750 0.500

---

# 3
AlTcMo3 (PBE, relaxed); offset from the most stable computed form = 141.9 meV/atom; total DFT energy (no corrections) = -7.6828 eV/atom; energy of formation from the pure elements = 1.64 eV/atom
1.0
4.462 0.000 0.000
0.000 4.462 0.000
0.000 0.000 4.462
Al Tc Mo
1 1 3
Direct
0.000 0.000 0.000
0.500 0.500 0.500
0.000 0.000 0.500
0.000 0.500 0.000
0.500 0.000 0.000

---

# 4
Hf2SeN (PBE, relaxed); formation energy from raw total energies = -1.7 eV/f.u.; offset from the most stable computed form = 854.8 meV/atom; total DFT energy (no corrections) = -8.3547 eV/atom
1.0
0.000 3.115 3.115
3.115 0.000 3.115
3.115 3.115 0.000
Hf Se N
2 1 1
Direct
0.250 0.250 0.250
0.750 0.750 0.750
0.000 0.000 0.000
0.500 0.500 0.500

---

# 5
Ba2ZnHPd (PBE, relaxed); offset from the most stable computed form = 68.9 meV/atom; total DFT energy (no corrections) = -3.0749 eV/atom
1.0
5.782 0.000 0.000
0.000 5.782 0.000
0.000 0.000 3.841
Ba Zn H Pd
2 1 1 1
Direct
0.000 0.500 0.000
0.500 0.000 0.000
0.000 0.000 0.500
0.500 0.500 0.000
0.500 0.500 0.500

---

# 6
LaThTeC (PBE, relaxed); formation energy from raw total energies = -3.2 eV/f.u.; total DFT energy (no corrections) = -6.9887 eV/atom
1.0
1.999 1.154 7.496
-1.999 1.154 7.496
0.000 -2.308 7.496
La Th Te C
1 1 1 1
Direct
0.000 0.000 0.000
0.793 0.793 0.793
0.229 0.229 0.229
0.407 0.407 0.407

---

Size of the total moment: 0.000; 0.000; 0.001; 0.000; 0.000; 0.488 (Bohr magnetons per cell)